A plane-wave DFT calculation with PBE was carried out for a relaxed CdSiOs2 crystal.

Properties
- Spin magnetization: 0.00 μB/atom
- ρ: 14.12 g/cm3
- Uncorrected formation energy: 287 meV/atom
- E: -6.9128 eV/atom

Lattice parameters (Å, degrees): 5.279 5.279 5.279 148.05 127.37 62.90
Sites, in units of the cell vectors:
Os  0.963  0.963  0.000
Si  0.750  0.250  0.500
Cd  0.250  0.750  0.500
Os  0.537  0.537  0.000

=====

A plane-wave DFT calculation with PBE was carried out for a relaxed CdSiOs2 crystal.

Properties
- Spin magnetization: 0.03 μB/atom
- ρ: 14.52 g/cm3
- Uncorrected formation energy: 531 meV/atom
- E: -6.6681 eV/atom

Lattice parameters (Å, degrees): 4.392 4.392 3.088 90.00 90.00 90.01
Sites, in units of the cell vectors:
Os  0.500  0.500  0.000
Cd  0.000  0.500  0.500
Si  0.500  0.000  0.500
Os  0.000  0.000  0.000

=====

A plane-wave DFT calculation with PBE was carried out for a relaxed CdSiOs2 crystal.

Properties
- Spin magnetization: 0.00 μB/atom
- ρ: 14.01 g/cm3
- Uncorrected formation energy: 483 meV/atom
- E: -6.7161 eV/atom

Lattice parameters (Å, degrees): 5.485 5.485 5.485 148.82 133.27 57.25
Sites, in units of the cell vectors:
Os  0.725  0.225  0.500
Os  0.977  0.977  0.000
Si  0.526  0.526  0.000
Cd  0.272  0.772  0.500

=====

A plane-wave DFT calculation with PBE was carried out for a relaxed CdSiOs2 crystal.

Properties
- Spin magnetization: 0.00 μB/atom
- ρ: 14.08 g/cm3
- Uncorrected formation energy: 152 meV/atom
- E: -7.0471 eV/atom

Lattice parameters (Å, degrees): 9.081 9.081 9.081 17.85 17.85 17.85
Sites, in units of the cell vectors:
Os  0.486  0.486  0.486
Os  0.014  0.014  0.014
Cd  0.250  0.250  0.250
Si  0.750  0.750  0.750

=====

A plane-wave DFT calculation with PBE was carried out for a relaxed CdSi3Os crystal.

Properties
- Spin magnetization: 0.00 μB/atom
- ρ: 6.18 g/cm3
- Uncorrected formation energy: 481 meV/atom
- E: -5.2017 eV/atom

Lattice parameters (Å, degrees): 4.703 4.703 4.703 90.00 90.00 90.00
Sites, in units of the cell vectors:
Si  0.500  0.000  0.000
Si  0.000  0.500  0.000
Cd  0.500  0.500  0.500
Os  0.000  0.000  0.000
Si  0.000  0.000  0.500

=====

A plane-wave DFT calculation with PBE was carried out for a relaxed CdSi2Os2 crystal.

Properties
- Spin magnetization: 0.00 μB/atom
- ρ: 12.18 g/cm3
- Uncorrected formation energy: -54 meV/atom
- E: -6.8984 eV/atom

Lattice parameters (Å, degrees): 7.188 7.188 2.898 90.00 90.00 90.00
Sites, in units of the cell vectors:
Os  0.353  0.853  0.000
Os  0.147  0.353  0.000
Si  0.646  0.854  0.500
Si  0.854  0.354  0.500
Si  0.354  0.146  0.500
Os  0.853  0.647  0.000
Os  0.647  0.147  0.000
Si  0.146  0.646  0.500
Cd  0.500  0.500  0.000
Cd  0.000  0.000  0.000

=====

A plane-wave DFT calculation with PBE was carried out for a relaxed CdSiOs2 crystal.

Properties
- Spin magnetization: 0.00 μB/atom
- ρ: 13.89 g/cm3
- Uncorrected formation energy: 295 meV/atom
- E: -6.9049 eV/atom

Lattice parameters (Å, degrees): 2.829 2.829 8.797 90.00 90.00 117.82
Sites, in units of the cell vectors:
Os  0.000  0.000  0.038
Os  0.000  0.000  0.462
Cd  0.500  0.500  0.750
Si  0.500  0.500  0.250

=====

A plane-wave DFT calculation with PBE was carried out for a relaxed CdSiOs crystal.

Properties
- Spin magnetization: 0.00 μB/atom
- ρ: 10.93 g/cm3
- Uncorrected formation energy: 236 meV/atom
- E: -5.6202 eV/atom

Lattice parameters (Å, degrees): 2.962 2.962 6.614 90.00 90.00 120.00
Sites, in units of the cell vectors:
Os  0.333  0.667  0.370
Cd  0.000  0.000  0.005
Si  0.667  0.333  0.624

=====

Q: Number 8 is which compound?
A: CdSiOs